Entry 1:
Below is a relaxed structure of CaIn2Br2, with properties calculated at the PBE level.

a b c (Å): 3.992 3.992 23.466
angles (deg): 90.00 90.00 90.00
Fractional positions:
Ca (0.000, 0.000, 0.000)
Ca (0.500, 0.500, 0.500)
In (0.000, 0.500, 0.250)
In (0.000, 0.500, 0.750)
In (0.500, 0.000, 0.250)
In (0.500, 0.000, 0.750)
Br (0.000, 0.000, 0.429)
Br (0.000, 0.000, 0.571)
Br (0.500, 0.500, 0.071)
Br (0.500, 0.500, 0.929)

Values from the calculation:
N(E_F): 2.699 states/eV/cell
Final energy: -2.9684 eV/atom
Polymorph energy (0 for the lowest one): 0.0000 eV/atom


Entry 2:
Below is a relaxed structure of CaIn2Br, with properties calculated at the PBE level.

a b c (Å): 7.652 7.652 7.652
angles (deg): 90.00 90.00 90.00
Fractional positions:
Ca (0.000, 0.000, 0.000)
Ca (0.000, 0.500, 0.500)
Ca (0.500, 0.000, 0.500)
Ca (0.500, 0.500, 0.000)
In (0.000, 0.000, 0.500)
In (0.000, 0.500, 0.000)
In (0.250, 0.250, 0.250)
In (0.250, 0.750, 0.750)
In (0.500, 0.000, 0.000)
In (0.500, 0.500, 0.500)
In (0.750, 0.250, 0.750)
In (0.750, 0.750, 0.250)
Br (0.250, 0.250, 0.750)
Br (0.250, 0.750, 0.250)
Br (0.750, 0.250, 0.250)
Br (0.750, 0.750, 0.750)

Values from the calculation:
N(E_F): 12.422 states/eV/cell
Final energy: -2.7185 eV/atom
Polymorph energy (0 for the lowest one): 0.2415 eV/atom


Entry 3:
Below is a relaxed structure of CaIn3Br, with properties calculated at the PBE level.

a b c (Å): 6.131 6.131 6.131
angles (deg): 90.00 90.00 90.00
Fractional positions:
Ca (0.000, 0.000, 0.000)
In (0.000, 0.000, 0.500)
In (0.000, 0.500, 0.000)
In (0.500, 0.000, 0.000)
Br (0.500, 0.500, 0.500)

Values from the calculation:
N(E_F): 7.179 states/eV/cell
Final energy: -2.0166 eV/atom
Polymorph energy (0 for the lowest one): 0.2764 eV/atom


Entry 4:
Below is a relaxed structure of Ca2InBr, with properties calculated at the PBE level.

a b c (Å): 4.043 4.043 26.443
angles (deg): 90.00 90.00 120.00
Fractional positions:
Ca (0.000, 0.000, 0.000)
Ca (0.000, 0.000, 0.169)
Ca (0.333, 0.667, 0.667)
Ca (0.333, 0.667, 0.835)
Ca (0.667, 0.333, 0.333)
Ca (0.667, 0.333, 0.502)
In (0.000, 0.000, 0.584)
In (0.333, 0.667, 0.251)
In (0.667, 0.333, 0.917)
Br (0.000, 0.000, 0.415)
Br (0.333, 0.667, 0.081)
Br (0.667, 0.333, 0.748)

Values from the calculation:
N(E_F): 2.040 states/eV/cell
Final energy: -2.9727 eV/atom
Polymorph energy (0 for the lowest one): 0.0732 eV/atom


Entry 5:
Below is a relaxed structure of Ca2InBr5, with properties calculated at the PBE level.

a b c (Å): 7.476 7.476 14.397
angles (deg): 90.00 90.00 134.36
Fractional positions:
Ca (0.145, 0.855, 0.558)
Ca (0.145, 0.855, 0.942)
Ca (0.855, 0.145, 0.058)
Ca (0.855, 0.145, 0.442)
In (0.443, 0.557, 0.750)
In (0.557, 0.443, 0.250)
Br (0.052, 0.948, 0.123)
Br (0.052, 0.948, 0.377)
Br (0.219, 0.781, 0.750)
Br (0.335, 0.665, 0.037)
Br (0.335, 0.665, 0.463)
Br (0.665, 0.335, 0.537)
Br (0.665, 0.335, 0.963)
Br (0.781, 0.219, 0.250)
Br (0.948, 0.052, 0.623)
Br (0.948, 0.052, 0.877)

Values from the calculation:
N(E_F): 0.000 states/eV/cell
Final energy: -3.5615 eV/atom


Entry 6:
Below is a relaxed structure of CaInBr3, with properties calculated at the PBE level.

a b c (Å): 9.238 4.336 9.267
angles (deg): 90.00 98.72 90.00
Fractional positions:
Ca (0.166, 0.250, 0.146)
Ca (0.834, 0.750, 0.854)
In (0.389, 0.750, 0.694)
In (0.611, 0.250, 0.306)
Br (0.048, 0.250, 0.829)
Br (0.307, 0.250, 0.445)
Br (0.361, 0.750, 0.096)
Br (0.639, 0.250, 0.904)
Br (0.693, 0.750, 0.555)
Br (0.952, 0.750, 0.171)

Values from the calculation:
N(E_F): 0.000 states/eV/cell
Final energy: -3.4256 eV/atom


Entry 7:
Below is a relaxed structure of CaIn2Br, with properties calculated at the PBE level.

a b c (Å): 4.128 4.192 6.981
angles (deg): 90.00 90.17 90.00
Fractional positions:
Ca (0.000, 0.000, 0.000)
In (0.496, 0.500, 0.360)
In (0.997, 0.000, 0.491)
Br (0.500, 0.500, 0.893)

Values from the calculation:
N(E_F): 1.437 states/eV/cell
Final energy: -2.9081 eV/atom
Polymorph energy (0 for the lowest one): 0.0519 eV/atom


Entry 8:
Below is a relaxed structure of CaIn2Br, with properties calculated at the PBE level.

a b c (Å): 10.137 3.748 6.526
angles (deg): 90.00 100.63 90.00
Fractional positions:
Ca (0.000, 0.000, 0.000)
Ca (0.500, 0.500, 0.000)
In (0.220, 0.500, 0.375)
In (0.461, 0.000, 0.536)
In (0.720, 0.000, 0.375)
In (0.961, 0.500, 0.536)
Br (0.279, 0.000, 0.934)
Br (0.779, 0.500, 0.934)

Values from the calculation:
N(E_F): 1.935 states/eV/cell
Final energy: -2.8569 eV/atom
Polymorph energy (0 for the lowest one): 0.1031 eV/atom


Entry 9:
Below is a relaxed structure of KCaInBr4, with properties calculated at the PBE level.

a b c (Å): 5.668 5.668 16.701
angles (deg): 90.00 90.00 90.00
Fractional positions:
K (0.000, 0.000, 0.000)
K (0.500, 0.500, 0.500)
Ca (0.000, 0.000, 0.362)
Ca (0.500, 0.500, 0.862)
In (0.000, 0.000, 0.716)
In (0.500, 0.500, 0.216)
Br (0.000, 0.000, 0.193)
Br (0.000, 0.000, 0.540)
Br (0.000, 0.500, 0.373)
Br (0.000, 0.500, 0.873)
Br (0.500, 0.000, 0.373)
Br (0.500, 0.000, 0.873)
Br (0.500, 0.500, 0.040)
Br (0.500, 0.500, 0.693)

Values from the calculation:
N(E_F): 0.000 states/eV/cell
Final energy: -3.3059 eV/atom


Entry 10:
Below is a relaxed structure of Li2CaInBr, with properties calculated at the PBE level.

a b c (Å): 5.090 5.090 6.197
angles (deg): 90.00 90.00 90.00
Fractional positions:
Li (0.000, 0.500, 0.000)
Li (0.500, 0.000, 0.000)
Ca (0.000, 0.000, 0.500)
In (0.500, 0.500, 0.000)
Br (0.500, 0.500, 0.500)

Values from the calculation:
N(E_F): 3.644 states/eV/cell
Final energy: -2.1784 eV/atom


Entry 11:
Below is a relaxed structure of LiCaIn2Br5, with properties calculated at the PBE level.

a b c (Å): 9.703 9.703 14.403
angles (deg): 90.00 90.00 154.23
Fractional positions:
Li (0.056, 0.944, 0.500)
Li (0.944, 0.056, 0.000)
Ca (0.293, 0.707, 0.093)
Ca (0.707, 0.293, 0.593)
In (0.372, 0.628, 0.388)
In (0.406, 0.594, 0.730)
In (0.594, 0.406, 0.230)
In (0.628, 0.372, 0.888)
Br (0.005, 0.995, 0.845)
Br (0.141, 0.859, 0.067)
Br (0.190, 0.810, 0.457)
Br (0.217, 0.783, 0.729)
Br (0.449, 0.551, 0.095)
Br (0.551, 0.449, 0.595)
Br (0.783, 0.217, 0.229)
Br (0.810, 0.190, 0.957)
Br (0.859, 0.141, 0.567)
Br (0.995, 0.005, 0.345)

Values from the calculation:
N(E_F): 0.000 states/eV/cell
Final energy: -3.2853 eV/atom